1.
Material: TiTl3Pt
Method: DFT, GGA-PBE
State: optimized geometry

## Properties
* energy relative to the elements: 0.674 eV/atom
* ΔE to the lowest computed polymorph: 0 meV/atom

Lattice parameters (Å, degrees): 5.253 5.253 5.253 90.00 90.00 90.00
Fractional coordinates of all 5 atoms:
Tl (0.000, 0.000, 0.500)
Tl (0.000, 0.500, 0.000)
Tl (0.500, 0.000, 0.000)
Pt (0.000, 0.000, 0.000)
Ti (0.500, 0.500, 0.500)

=====

2.
Material: RePtF2
Method: DFT, GGA-PBE
State: optimized geometry

## Properties
* ΔE to the lowest computed polymorph: 309 meV/atom
* energy relative to the elements, uncorrected: 0.072 eV per atom

Lattice parameters (Å, degrees): 7.300 7.300 5.718 50.33 50.33 90.00
Fractional coordinates of all 8 atoms:
F (0.258, 0.625, 0.250)
F (0.875, 0.742, 0.750)
F (0.375, 0.508, 0.750)
F (0.492, 0.125, 0.250)
Pt (0.000, 0.000, 0.000)
Pt (0.750, 0.250, 0.500)
Re (0.250, 0.750, 0.500)
Re (0.500, 0.500, 0.000)

=====

Short version: calculated density = 9.81 10.62 g cm⁻³, in the order given.